## AcTmCdSi (PBE)

Data for a relaxed structure of AcTmCdSi.

Unit cell a=5.332 b=5.332 c=5.332 alpha=60.00 beta=60.00 gamma=60.00
Atoms (fractional coordinates):
1 Ac 0.000 0.000 0.000
2 Tm 0.500 0.500 0.500
3 Cd 0.750 0.750 0.750
4 Si 0.250 0.250 0.250

- Density of states at the Fermi level: 2.970 states/eV per cell
- VASP energy: -3.999 eV/atom
- Formation energy without anion corrections: -26 kJ/mol of atoms
- Crystal system: cubic